No. 1
DFT (PBE) results for a geometry-optimized BeCoAgGe structure.

Cell: 4.1754 4.1754 4.1754 Å, 60.00 60.00 60.00°
Fractional coordinates of all 4 atoms:
1 Ag 0.2500 0.2500 0.2500
2 Be 0.5000 0.5000 0.5000
3 Co 0.7500 0.7500 0.7500
4 Ge 0.0000 0.0000 0.0000

Output
Distance to the lowest polymorph of the same formula ... 0 meV per atom
Size of the total moment ... 0.03 μB per formula unit
Electronic total energy ... -17.36 eV per cell

=====

No. 2
DFT (PBE) results for a geometry-optimized BeCoAgGe structure.

Cell: 4.1833 4.1833 4.1833 Å, 60.00 60.00 60.00°
Site moments in Bohr magnetons follow the coordinates.
Fractional coordinates of all 4 atoms:
1 Ag 0.5000 0.5000 0.5000  0.00
2 Be 0.2500 0.2500 0.2500  0.00
3 Co 0.7500 0.7500 0.7500  0.09
4 Ge 0.0000 0.0000 0.0000  0.00

Output
Distance to the lowest polymorph of the same formula ... 51 meV per atom
Size of the total moment ... 0.09 μB per formula unit
Electronic total energy ... -17.15 eV per cell

=====

No. 3
DFT (PBE) results for a geometry-optimized BeCoAgMo structure.

Cell: 4.2320 4.2320 4.2320 Å, 60.00 60.00 60.00°
Fractional coordinates of all 4 atoms:
1 Ag 0.0000 0.0000 0.0000
2 Be 0.7500 0.7500 0.7500
3 Co 0.5000 0.5000 0.5000
4 Mo 0.2500 0.2500 0.2500

Output
Distance to the lowest polymorph of the same formula ... 212 meV per atom
Size of the total moment ... 0.00 μB per formula unit
Electronic total energy ... -22.59 eV per cell